Entry 1:
Below is Ca4P3 after structural relaxation, with properties calculated at the PBE-GGA level.

## Properties
The calculation puts the density of states at the Fermi level at 0.552 states/eV/atom. For the spin magnetization, the calculation gives 0.0 Bohr magnetons per cell. The calculated volume comes out at 23.151 A^3/atom. For the energy of formation from the pure elements, the calculation gives -0.28 eV per atom. The calculated total energy is -3.744 eV/atom.

CIF file:
```
data_Ca4P3
_chemical_formula_sum 'Ca4 P3'
_cell_length_a 5.6603
_cell_length_b 5.6603
_cell_length_c 5.8406
_cell_angle_alpha 90.00
_cell_angle_beta 90.00
_cell_angle_gamma 120.00
_symmetry_space_group_name_H-M 'P 6/m m m'
_symmetry_Int_Tables_number 191
_symmetry_space_group_name_Hall '-P 6 2'
loop_
_atom_site_label
_atom_site_fract_x
_atom_site_fract_y
_atom_site_fract_z
Ca1 0.0000 0.0000 0.2248
Ca2 0.3333 0.6667 0.5000
P1 0.0000 0.5000 0.0000
```



Entry 2:
Below is Ca5P8 after structural relaxation, with properties calculated at the PBE-GGA level.

## Properties
For the spin magnetization, the calculation gives 0.0 Bohr magnetons per cell. The calculated volume comes out at 22.651 A^3/atom. For the energy of formation from the pure elements, the calculation gives -0.91 eV per atom. The calculated total energy is -5.005 eV/atom.

CIF file:
```
data_Ca5P8
_chemical_formula_sum 'Ca10 P16'
_cell_length_a 6.922
_cell_length_b 11.918
_cell_length_c 7.511
_cell_angle_alpha 90.00
_cell_angle_beta 108.12
_cell_angle_gamma 90.00
_symmetry_space_group_name_H-M 'C 1 2/m 1'
_symmetry_Int_Tables_number 12
loop_
_symmetry_equiv_pos_as_xyz
'x,y,z'
'-x,-y,-z'
'-x,y,-z'
'x,-y,z'
'x+1/2,y+1/2,z'
'-x+1/2,-y+1/2,-z'
'-x+1/2,y+1/2,-z'
'x+1/2,-y+1/2,z'
loop_
_atom_site_label
_atom_site_fract_x
_atom_site_fract_y
_atom_site_fract_z
Ca1 0.000 0.000 0.000
Ca2 0.000 0.165 0.500
Ca3 0.000 0.325 0.000
P1 0.053 0.500 0.664
P2 0.223 0.500 0.258
P3 0.232 0.347 0.740
```



Entry 3:
Below is Ca3P after structural relaxation, with properties calculated at the PBE-GGA level.

## Properties
The calculation puts the density of states at the Fermi level at 0.789 states/eV/atom. For the spin magnetization, the calculation gives 0.0 Bohr magnetons per cell. The calculated volume comes out at 36.522 A^3/atom. For the energy of formation from the pure elements, the calculation gives -0.52 eV per atom. As for the distance to the lowest polymorph of the same formula: 109.7 meV per atom. The calculated total energy is -3.374 eV/atom.

CIF file:
```
data_Ca3P
_chemical_formula_sum 'Ca3 P1'
_cell_length_a 4.0843
_cell_length_b 4.0843
_cell_length_c 10.1122
_cell_angle_alpha 90.00
_cell_angle_beta 90.00
_cell_angle_gamma 120.00
_symmetry_space_group_name_H-M 'P -6 m 2'
_symmetry_Int_Tables_number 187
_symmetry_space_group_name_Hall 'P -6 2'
loop_
_atom_site_label
_atom_site_fract_x
_atom_site_fract_y
_atom_site_fract_z
Ca1 0.0000 0.0000 0.0000
Ca2 0.3333 0.6667 0.3427
P1 0.0000 0.0000 0.5000
```